Entry 1:
Entry from Alexandria: a relaxed structure of Tm2ScZn (PBE).

Computed properties:
* E above lowest polymorph: 106 meV per atom
* E_tot: -4.18 eV/atom
* volume: 24.17 Å³/atom
* ΔE_f: -0.046 eV per atom

The structure in CIF format:
```
data_Tm2ScZn
_cell_length_a 4.499
_cell_length_b 4.635
_cell_length_c 4.635
_cell_angle_alpha 90.00
_cell_angle_beta 90.00
_cell_angle_gamma 90.00
_space_group_name_H-M_alt 'P 1'
_space_group_IT_number 1
_space_group_name_Hall 'P 1'
loop_
_atom_site_label
_atom_site_type_symbol
_atom_site_fract_x
_atom_site_fract_y
_atom_site_fract_z
Tm1 Tm 0.000 0.500 0.000
Tm2 Tm 0.000 0.000 0.500
Zn1 Zn 0.500 0.000 0.000
Sc1 Sc 0.500 0.500 0.500
```

---

Entry 2:
Entry from Alexandria: a relaxed structure of TiAlCoAu (PBE).

Computed properties:
* E_tot: -5.89 eV/atom
* volume: 14.79 Å³/atom
* ΔE_f: -0.383 eV per atom

The structure in CIF format:
```
data_TiAlCoAu
_cell_length_a 4.374
_cell_length_b 4.374
_cell_length_c 4.374
_cell_angle_alpha 60.00
_cell_angle_beta 60.00
_cell_angle_gamma 60.00
_space_group_name_H-M_alt 'P 1'
_space_group_IT_number 1
_space_group_name_Hall 'P 1'
loop_
_atom_site_label
_atom_site_type_symbol
_atom_site_fract_x
_atom_site_fract_y
_atom_site_fract_z
Au1 Au 0.750 0.750 0.750
Ti1 Ti 0.500 0.500 0.500
Al1 Al 0.000 0.000 0.000
Co1 Co 0.250 0.250 0.250
```

---

Entry 3:
Entry from Alexandria: a relaxed structure of ZrSiRu (PBE).

Computed properties:
* E_tot: -8.43 eV/atom
* volume: 17.04 Å³/atom
* formation energy (no corrections): -15.8 kcal/mol of atoms

The structure in CIF format:
```
data_ZrSiRu
_cell_length_a 5.631
_cell_length_b 6.270
_cell_length_c 6.480
_cell_angle_alpha 90.00
_cell_angle_beta 90.00
_cell_angle_gamma 116.68
_space_group_name_H-M_alt 'P 1'
_space_group_IT_number 1
_space_group_name_Hall 'P 1'
loop_
_atom_site_label
_atom_site_type_symbol
_atom_site_fract_x
_atom_site_fract_y
_atom_site_fract_z
Si1 Si 0.103 0.206 0.954
Si2 Si 0.397 0.794 0.454
Zr1 Zr 0.165 0.331 0.560
Zr2 Zr 0.335 0.669 0.060
Ru1 Ru 0.296 0.092 0.250
Zr3 Zr 0.665 0.331 0.940
Zr4 Zr 0.835 0.669 0.440
Si3 Si 0.897 0.794 0.046
Ru2 Ru 0.796 0.092 0.250
Si4 Si 0.603 0.206 0.546
Ru3 Ru 0.204 0.908 0.750
Ru4 Ru 0.704 0.908 0.750
```

---

> What is the E_tot in the first record?

-4.18 eV/atom